! BaInOs | Alexandria | PBE-GGA | optimized geometry; values from VASP
! Density of states at the Fermi level (states/eV per atom): 2.388
! Energy of formation (eV/atom): 1.58
! Total energy (eV per atom): -3.7180
&SYSTEM
  ibrav = 0, nat = 3, ntyp = 3
/
ATOMIC_SPECIES
Ba 137.33 Ba.upf
In 114.82 In.upf
Os 190.23 Os.upf
CELL_PARAMETERS angstrom
0.0000 3.6956 3.6956
3.6956 0.0000 3.6956
3.6956 3.6956 0.0000
ATOMIC_POSITIONS crystal
Ba 0.0000 0.0000 0.0000
In 0.2500 0.2500 0.2500
Os 0.7500 0.7500 0.7500

! Rb3TcRu | Alexandria | PBE-GGA | optimized geometry; values from VASP
! Density of states at the Fermi level (states/eV per atom): 3.554
! Energy of formation (eV/atom): 2.08
! Total energy (eV per atom): -2.4314
&SYSTEM
  ibrav = 0, nat = 5, ntyp = 3
/
ATOMIC_SPECIES
Rb 85.47 Rb.upf
Tc 98.00 Tc.upf
Ru 101.07 Ru.upf
CELL_PARAMETERS angstrom
6.4944 0.0000 0.0000
0.0000 6.4944 0.0000
0.0000 0.0000 6.4944
ATOMIC_POSITIONS crystal
Rb 0.0000 0.0000 0.5000
Rb 0.0000 0.5000 0.0000
Rb 0.5000 0.0000 0.0000
Tc 0.0000 0.0000 0.0000
Ru 0.5000 0.5000 0.5000

! Rb2SiTeI6 | Alexandria | PBE-GGA | optimized geometry; values from VASP
! E_form (uncorrected) (eV per atom): -0.598
! Density of states at the Fermi level (states/eV per atom): 0.432
! Total energy (eV per atom): -2.5779
&SYSTEM
  ibrav = 0, nat = 10, ntyp = 4
/
ATOMIC_SPECIES
Rb 85.47 Rb.upf
Si 28.09 Si.upf
Te 127.60 Te.upf
I 126.90 I.upf
CELL_PARAMETERS angstrom
-4.2222 4.2222 6.0282
4.2222 -4.2222 6.0282
4.2222 4.2222 -6.0282
ATOMIC_POSITIONS crystal
Rb 0.2500 0.7500 0.5000
Rb 0.7500 0.2500 0.5000
Si 0.0000 0.0000 0.0000
Te 0.5000 0.5000 0.0000
I 0.2348 0.2348 0.0000
I 0.2370 0.2370 0.4741
I 0.2370 0.7630 0.0000
I 0.7630 0.2370 0.0000
I 0.7630 0.7630 0.5259
I 0.7652 0.7652 0.0000

! Si4PtPb | Alexandria | PBE-GGA | optimized geometry; values from VASP
! E_form (uncorrected) (eV per atom): 0.532
! Density of states at the Fermi level (states/eV per atom): 0.439
! Total energy (eV per atom): -4.7083
&SYSTEM
  ibrav = 0, nat = 6, ntyp = 3
/
ATOMIC_SPECIES
Si 28.09 Si.upf
Pt 195.08 Pt.upf
Pb 207.20 Pb.upf
CELL_PARAMETERS angstrom
0.0000 3.7640 3.7640
3.7640 0.0000 3.7640
3.7640 3.7640 0.0000
ATOMIC_POSITIONS crystal
Si 0.3758 0.3758 0.3758
Si 0.3758 0.3758 0.8726
Si 0.3758 0.8726 0.3758
Si 0.8726 0.3758 0.3758
Pt 0.7500 0.7500 0.7500
Pb 0.0000 0.0000 0.0000

! AcPdC2O8 | Alexandria | PBE-GGA | optimized geometry; values from VASP
! E_form (uncorrected) (eV per atom): -1.287
! Density of states at the Fermi level (states/eV per atom): 0.607
! Total energy (eV per atom): -6.9050
&SYSTEM
  ibrav = 0, nat = 12, ntyp = 4
/
ATOMIC_SPECIES
Ac 227.00 Ac.upf
Pd 106.42 Pd.upf
C 12.01 C.upf
O 16.00 O.upf
CELL_PARAMETERS angstrom
2.4999 1.4433 5.7071
-2.4999 1.4433 5.7071
0.0000 -2.8866 5.7071
ATOMIC_POSITIONS crystal
Ac 0.0000 0.0000 0.0000
Pd 0.5000 0.5000 0.5000
C 0.2181 0.2181 0.2181
C 0.7819 0.7819 0.7819
O 0.0576 0.5964 0.5964
O 0.1423 0.1423 0.1423
O 0.4036 0.4036 0.9424
O 0.4036 0.9424 0.4036
O 0.5964 0.0576 0.5964
O 0.5964 0.5964 0.0576
O 0.8577 0.8577 0.8577
O 0.9424 0.4036 0.4036

! TbPmIr2 | Alexandria | PBE-GGA | optimized geometry; values from VASP
! Density of states at the Fermi level (states/eV per atom): 0.536
! Energy of formation (eV/atom): -0.70
! Total energy (eV per atom): -7.4736
&SYSTEM
  ibrav = 0, nat = 4, ntyp = 3
/
ATOMIC_SPECIES
Tb 158.93 Tb.upf
Pm 145.00 Pm.upf
Ir 192.22 Ir.upf
CELL_PARAMETERS angstrom
4.2012 0.0000 0.0000
0.0000 2.0047 5.3600
0.0000 -2.0047 5.3600
ATOMIC_POSITIONS crystal
Tb 0.0000 0.0000 0.0000
Pm 0.5000 0.7082 0.7082
Ir 0.0000 0.2799 0.2799
Ir 0.5000 0.4337 0.4337

! SrY2Ta | Alexandria | PBE-GGA | optimized geometry; values from VASP
! Density of states at the Fermi level (states/eV per atom): 1.472
! Energy of formation (eV/atom): 0.66
! Total energy (eV per atom): -5.9507
&SYSTEM
  ibrav = 0, nat = 4, ntyp = 3
/
ATOMIC_SPECIES
Sr 87.62 Sr.upf
Y 88.91 Y.upf
Ta 180.95 Ta.upf
CELL_PARAMETERS angstrom
4.9837 0.0000 0.0000
0.0000 4.9837 0.0000
0.0000 0.0000 4.6940
ATOMIC_POSITIONS crystal
Sr 0.0000 0.0000 0.0000
Y 0.0000 0.5000 0.5000
Y 0.5000 0.0000 0.5000
Ta 0.5000 0.5000 0.0000

! ZrBeAg | Alexandria | PBE-GGA | optimized geometry; values from VASP
! Density of states at the Fermi level (states/eV per atom): 1.063
! Energy of formation (eV/atom): 0.28
! Total energy (eV per atom): -4.7585
&SYSTEM
  ibrav = 0, nat = 3, ntyp = 3
/
ATOMIC_SPECIES
Zr 91.22 Zr.upf
Be 9.01 Be.upf
Ag 107.87 Ag.upf
CELL_PARAMETERS angstrom
3.1478 0.0000 0.0000
-1.5739 2.7261 0.0000
0.0000 0.0000 6.0548
ATOMIC_POSITIONS crystal
Zr 0.0000 0.0000 0.0000
Be 0.3333 0.6667 0.6728
Ag 0.6667 0.3333 0.4143